No. 1
Tl3Bi4Te8: optimized geometry, PBE.

Results
**Energy relative to the elements, uncorrected**: -3.1 eV/f.u.
**Density of states at the Fermi level**: 0.2474 states/eV/atom
**DFT total energy**: -3.3894 eV/atom

Cell lengths 12.9169, 12.8774, 9.0746 Å; angles 90.00, 134.42, 90.00 degrees
Last column: nearest neighbours and their distance in Å.
Space group C2/m (No. 12)
Asymmetric unit:
Tl 0.0000 0.0000 0.0000 (multiplicity 2)  6 Te 3.29-3.33
Tl 0.2500 0.2500 0.0000 (multiplicity 4)  6 Te 3.22-3.24
Bi 0.0000 0.5000 0.0000 (multiplicity 2)  6 Te 3.15-3.16
Bi 0.0000 0.5000 0.5000 (multiplicity 2)  6 Te 3.18-3.20
Bi 0.2500 0.2500 0.5000 (multiplicity 4)  6 Te 3.22-3.24
Te 0.0000 0.2526 0.5000 (multiplicity 4)  3 Bi 3.19-3.23, 2 Tl 3.24
Te 0.0000 0.2553 0.0000 (multiplicity 4)  3 Bi 3.15-3.24, 3 Tl 3.23-3.29
Te 0.2394 0.5000 0.9913 (multiplicity 4)  2 Bi 3.15-3.18, 3 Tl 3.22-3.31
Te 0.2412 0.5000 0.4868 (multiplicity 4)  4 Bi 3.16-3.22, 1 Tl 3.33

---

No. 2
BPRhCl: optimized geometry, PBE.

Results
**Energy relative to the elements, uncorrected**: -0.7 eV/f.u.
**Density of states at the Fermi level**: 0.5415 states/eV/atom
**DFT total energy**: -5.5018 eV/atom

Cell lengths 3.2014, 3.8213, 6.1489 Å; angles 97.33, 90.06, 114.53 degrees
Last column: nearest neighbours and their distance in Å.
Space group P1 (No. 1)
Asymmetric unit:
B 0.0000 0.0000 0.0000 (multiplicity 1)  1 Cl 1.81, 2 P 1.92
P 0.6040 0.2090 0.1417 (multiplicity 1)  2 B 1.92
Rh 0.9104 0.8204 0.3184 (multiplicity 1)  1 B 2.14, 1 P 2.25
Cl 0.8545 0.7051 0.7330 (multiplicity 1)  1 B 1.81

---

No. 3
Rb2MnNbS4: optimized geometry, PBE.

Results
**Energy relative to the elements, uncorrected**: -7.5 eV/f.u.
**Density of states at the Fermi level**: 0.6122 states/eV/atom
**DFT total energy**: -5.6528 eV/atom

Cell lengths 7.1720, 7.1720, 9.3986 Å; angles 90.00, 90.00, 90.00 degrees
Last column: nearest neighbours and their distance in Å.
Space group I-4 (No. 82)
Asymmetric unit:
Rb 0.0000 0.0000 0.0000 (multiplicity 2)  4 S 3.32
Rb 0.0000 0.5000 0.2500 (multiplicity 2)  4 S 3.46
Mn 0.0000 0.0000 0.5000 (multiplicity 2)  4 S 2.37
Nb 0.0000 0.5000 0.7500 (multiplicity 2)  4 S 2.34
S 0.1342 0.2606 0.6160 (multiplicity 8)  1 Nb 2.34, 1 Mn 2.37

---

No. 4
PmZrSnPd: optimized geometry, PBE.

Results
**Density of states at the Fermi level**: 0.5761 states/eV/atom
**DFT total energy**: -6.1239 eV/atom
**ΔE_f**: -0.500 eV per atom

Cell lengths 7.2071, 7.2071, 7.2071 Å; angles 90.00, 90.00, 90.00 degrees
Last column: nearest neighbours and their distance in Å.
Space group F-43m (No. 216)
Asymmetric unit:
Pm 0.0000 0.0000 0.0000 (multiplicity 4)  4 Pd 3.12, 4 Sn 3.12
Zr 0.0000 0.0000 0.5000 (multiplicity 4)  4 Sn 3.12, 4 Pd 3.12
Sn 0.2500 0.2500 0.2500 (multiplicity 4)  4 Zr 3.12, 4 Pm 3.12
Pd 0.2500 0.2500 0.7500 (multiplicity 4)  4 Zr 3.12, 4 Pm 3.12

---

No. 5
Tb2Nd3ThSe6: optimized geometry, PBE.

Results
**Energy relative to the elements, uncorrected**: -21.1 eV/f.u.
**Density of states at the Fermi level**: 0.5628 states/eV/atom
**DFT total energy**: -6.0854 eV/atom

Cell lengths 18.1937, 4.1670, 8.4053 Å; angles 90.00, 102.87, 90.00 degrees
Last column: nearest neighbours and their distance in Å.
Space group C2/m (No. 12)
Asymmetric unit:
Tb 0.1654 0.0000 0.3308 (multiplicity 4)  6 Se 2.86-2.92
Nd 0.0000 0.5000 0.5000 (multiplicity 2)  6 Se 2.95-3.02
Nd 0.1626 0.0000 0.8337 (multiplicity 4)  6 Se 2.96-3.03
Th 0.0000 0.5000 0.0000 (multiplicity 2)  6 Se 2.97-3.00
Se 0.0042 0.0000 0.2533 (multiplicity 4)  1 Tb 2.86, 3 Nd 2.95-2.96, 2 Th 2.97
Se 0.1688 0.5000 0.0932 (multiplicity 4)  2 Tb 2.90, 3 Nd 2.99-3.00, 1 Th 3.00
Se 0.1704 0.5000 0.5769 (multiplicity 4)  3 Tb 2.91-2.92, 3 Nd 3.02-3.03

---

No. 6
Re2TcSe: optimized geometry, PBE.

Results
**Energy relative to the elements, uncorrected**: 1.7 eV/f.u.
**Density of states at the Fermi level**: 0.7983 states/eV/atom
**DFT total energy**: -9.2682 eV/atom

Cell lengths 9.4648, 2.9321, 4.5204 Å; angles 90.00, 92.35, 90.00 degrees
Last column: nearest neighbours and their distance in Å.
Space group Cm (No. 8)
Asymmetric unit:
Re 0.0000 0.0000 0.0000 (multiplicity 2)  2 Se 2.53, 2 Re 2.72, 2 Tc 2.74
Re 0.2209 0.5000 0.2303 (multiplicity 2)  1 Se 2.51, 2 Tc 2.60, 2 Re 2.72
Tc 0.2757 0.0000 0.7737 (multiplicity 2)  1 Se 2.47, 4 Re 2.60-2.74
Se 0.0087 0.5000 0.5462 (multiplicity 2)  1 Tc 2.47, 3 Re 2.51-2.53